This record from Alexandria via LeMat-Bulk describes an optimized crystal structure of Tm2TaGa2Ru5. The functional is PBE.

Cell: 3.334 10.054 10.054 Å, 90.00 90.00 90.00°
Element x y z (fractional)
Tm: 0.000 0.671 0.171
Tm: 0.000 0.329 0.829
Tm: 0.000 0.171 0.329
Tm: 0.000 0.829 0.671
Ta: 0.000 0.000 0.000
Ta: 0.000 0.500 0.500
Ga: 0.000 0.128 0.628
Ga: 0.000 0.872 0.372
Ga: 0.000 0.628 0.872
Ga: 0.000 0.372 0.128
Ru: 0.500 0.198 0.067
Ru: 0.500 0.802 0.933
Ru: 0.500 0.067 0.802
Ru: 0.500 0.698 0.433
Ru: 0.500 0.933 0.198
Ru: 0.500 0.302 0.567
Ru: 0.500 0.567 0.698
Ru: 0.500 0.433 0.302
Ru: 0.500 0.500 0.000
Ru: 0.500 0.000 0.500

Summary:
Its formation energy is -426 meV/atom. As for the space group: No. 127. For the size of the total moment, the calculation gives 0.000 μB/cell.

=====

This record from Alexandria via LeMat-Bulk describes an optimized crystal structure of Tb3Ga9Ru2. The functional is PBE.

Cell: 4.270 8.134 8.134 Å, 71.02 74.78 74.78°
Element x y z (fractional)
Tb: 0.000 0.000 0.000
Tb: 0.699 0.301 0.301
Tb: 0.301 0.699 0.699
Ga: 0.000 0.500 0.500
Ga: 0.653 0.983 0.710
Ga: 0.347 0.017 0.290
Ga: 0.653 0.710 0.983
Ga: 0.347 0.290 0.017
Ga: 0.869 0.848 0.414
Ga: 0.131 0.152 0.586
Ga: 0.869 0.414 0.848
Ga: 0.131 0.586 0.152
Ru: 0.500 0.325 0.675
Ru: 0.500 0.675 0.325

Summary:
Its formation energy is -580 meV/atom. As for the space group: No. 71. For the size of the total moment, the calculation gives 0.000 μB/cell.

=====

This record from Alexandria via LeMat-Bulk describes an optimized crystal structure of Tb3Ga2Ru. The functional is PBE.

Cell: 4.311 11.026 11.981 Å, 90.00 90.00 90.00°
Element x y z (fractional)
Tb: 0.250 0.382 0.052
Tb: 0.750 0.618 0.948
Tb: 0.750 0.882 0.448
Tb: 0.250 0.118 0.552
Tb: 0.250 0.707 0.233
Tb: 0.750 0.293 0.767
Tb: 0.750 0.207 0.267
Tb: 0.250 0.793 0.733
Tb: 0.250 0.445 0.383
Tb: 0.750 0.555 0.617
Tb: 0.750 0.945 0.117
Tb: 0.250 0.055 0.883
Ga: 0.250 0.699 0.491
Ga: 0.750 0.301 0.509
Ga: 0.750 0.199 0.009
Ga: 0.250 0.801 0.991
Ga: 0.250 0.004 0.303
Ga: 0.750 0.996 0.697
Ga: 0.750 0.504 0.197
Ga: 0.250 0.496 0.803
Ru: 0.250 0.131 0.118
Ru: 0.750 0.869 0.882
Ru: 0.750 0.631 0.382
Ru: 0.250 0.369 0.618

Summary:
Its formation energy is -527 meV/atom. As for the space group: No. 62. For the size of the total moment, the calculation gives 0.000 μB/cell.

=====

This record from Alexandria via LeMat-Bulk describes an optimized crystal structure of Tb5Ga4Ru. The functional is PBE.

Cell: 3.544 3.544 17.925 Å, 90.00 90.00 90.00°
Element x y z (fractional)
Tb: 0.500 0.500 0.091
Tb: 0.500 0.500 0.296
Tb: 0.500 0.500 0.500
Tb: 0.500 0.500 0.704
Tb: 0.500 0.500 0.909
Ga: 0.000 0.000 0.196
Ga: 0.000 0.000 0.398
Ga: 0.000 0.000 0.602
Ga: 0.000 0.000 0.804
Ru: 0.000 0.000 0.000

Summary:
Its formation energy is -552 meV/atom. As for the space group: No. 123. For the size of the total moment, the calculation gives 0.000 μB/cell.

=====

This record from Alexandria via LeMat-Bulk describes an optimized crystal structure of Tb2GaRu3. The functional is PBE.

Cell: 5.471 5.471 5.258 Å, 89.95 121.33 120.08°
Element x y z (fractional)
Tb: 0.749 0.375 0.124
Tb: 0.251 0.625 0.876
Ga: 0.000 0.000 0.000
Ru: 0.500 0.500 0.500
Ru: 0.000 0.000 0.500
Ru: 0.500 0.000 0.500

Summary:
Its formation energy is -419 meV/atom. As for the space group: No. 166. For the size of the total moment, the calculation gives 1.246 μB/cell.

=====

This record from Alexandria via LeMat-Bulk describes an optimized crystal structure of Tb8Ga2Ru. The functional is PBE.

Cell: 4.838 8.411 8.618 Å, 119.21 106.30 90.00°
Element x y z (fractional)
Ru: 0.500 0.000 0.000
Tb: 0.659 0.884 0.317
Tb: 0.341 0.567 0.683
Tb: 0.122 0.122 0.244
Tb: 0.000 0.326 0.000
Tb: 0.878 0.878 0.756
Tb: 0.659 0.433 0.317
Tb: 0.341 0.116 0.683
Tb: 0.000 0.674 0.000
Ga: 0.193 0.693 0.386
Ga: 0.807 0.307 0.614

Summary:
Its formation energy is -189 meV/atom. The energy above the lowest structure with this stoichiometry is 105.4 meV/atom. As for the space group: No. 71. For the size of the total moment, the calculation gives 0.000 μB/cell.

=====

This record from Alexandria via LeMat-Bulk describes an optimized crystal structure of Tb3Ga4Ru2. The functional is PBE.

Cell: 4.384 5.671 8.379 Å, 105.95 90.00 112.74°
Element x y z (fractional)
Tb: 0.632 0.264 0.691
Tb: 0.000 0.000 0.000
Tb: 0.368 0.736 0.309
Ga: 0.718 0.436 0.072
Ga: 0.282 0.564 0.928
Ga: 0.909 0.817 0.596
Ga: 0.091 0.183 0.404
Ru: 0.684 0.369 0.356
Ru: 0.316 0.631 0.644

Summary:
Its formation energy is -584 meV/atom. As for the space group: No. 12. For the size of the total moment, the calculation gives 0.000 μB/cell.

=====

This record from Alexandria via LeMat-Bulk describes an optimized crystal structure of Tb4Ga3Ru. The functional is PBE.

Cell: 4.206 4.181 10.679 Å, 90.00 90.00 90.00°
Element x y z (fractional)
Tb: 0.500 0.500 0.347
Tb: 0.000 0.500 0.868
Tb: 0.000 0.000 0.138
Tb: 0.500 0.000 0.643
Ga: 0.000 0.500 0.575
Ga: 0.000 0.000 0.426
Ga: 0.500 0.000 0.930
Ru: 0.500 0.500 0.073

Summary:
Its formation energy is -554 meV/atom. As for the space group: No. 25. For the size of the total moment, the calculation gives 0.000 μB/cell.

=====

This record from Alexandria via LeMat-Bulk describes an optimized crystal structure of Tb4GaRu2. The functional is PBE.

Cell: 4.895 4.895 8.365 Å, 72.99 72.99 60.00°
Element x y z (fractional)
Ru: 0.747 0.747 0.760
Ru: 0.253 0.253 0.240
Tb: 0.871 0.871 0.388
Tb: 0.129 0.129 0.612
Tb: 0.619 0.619 0.143
Tb: 0.381 0.381 0.857
Ga: 0.000 0.000 0.000

Summary:
Its formation energy is -356 meV/atom. The energy above the lowest structure with this stoichiometry is 0.0 meV/atom. As for the space group: No. 166. For the size of the total moment, the calculation gives 0.000 μB/cell.

=====

This record from Alexandria via LeMat-Bulk describes an optimized crystal structure of Tb4Ga12Ru. The functional is PBE.

Cell: 7.480 7.480 7.480 Å, 109.47 109.47 109.47°
Element x y z (fractional)
Tb: 0.000 0.000 0.500
Tb: 0.500 0.000 0.000
Tb: 0.500 0.500 0.500
Tb: 0.000 0.500 0.000
Ga: 0.000 0.290 0.290
Ga: 0.000 0.710 0.710
Ga: 0.710 0.710 0.000
Ga: 0.290 0.290 0.000
Ga: 0.290 0.000 0.290
Ga: 0.710 0.000 0.710
Ga: 0.500 0.250 0.750
Ga: 0.500 0.750 0.250
Ga: 0.750 0.250 0.500
Ga: 0.250 0.750 0.500
Ga: 0.750 0.500 0.250
Ga: 0.250 0.500 0.750
Ru: 0.000 0.000 0.000

Summary:
Its formation energy is -581 meV/atom. As for the space group: No. 229. For the size of the total moment, the calculation gives 0.000 μB/cell.

=====

This record from Alexandria via LeMat-Bulk describes an optimized crystal structure of TbGa2Ru2. The functional is PBE.

Cell: 4.500 4.500 5.461 Å, 66.63 66.63 89.90°
Element x y z (fractional)
Tb: 0.000 0.000 0.000
Ga: 0.647 0.647 0.717
Ga: 0.353 0.353 0.283
Ru: 0.252 0.748 0.500
Ru: 0.748 0.252 0.500

Summary:
Its formation energy is -400 meV/atom. As for the space group: No. 12. For the size of the total moment, the calculation gives 0.000 μB/cell.

=====

This record from Alexandria via LeMat-Bulk describes an optimized crystal structure of Tb2Ga2Ru. The functional is PBE.

Cell: 4.412 5.630 9.623 Å, 85.90 76.75 66.93°
Element x y z (fractional)
Tb: 0.676 0.318 0.329
Tb: 0.921 0.270 0.888
Tb: 0.324 0.682 0.671
Tb: 0.079 0.730 0.112
Ga: 0.080 0.271 0.568
Ga: 0.627 0.865 0.881
Ga: 0.920 0.729 0.432
Ga: 0.373 0.135 0.119
Ru: 0.647 0.075 0.631
Ru: 0.353 0.925 0.369

Summary:
Its formation energy is -583 meV/atom. The energy above the lowest structure with this stoichiometry is 0.0 meV/atom. As for the space group: No. 12. For the size of the total moment, the calculation gives 0.000 μB/cell.

=====

This record from Alexandria via LeMat-Bulk describes an optimized crystal structure of Tb6GaRu5. The functional is PBE.

Cell: 4.855 6.926 7.684 Å, 90.00 108.52 90.00°
Element x y z (fractional)
Ru: 0.667 0.500 0.333
Ru: 0.338 0.000 0.673
Ru: 0.000 0.500 0.000
Ru: 0.662 0.000 0.327
Ru: 0.333 0.500 0.667
Tb: 0.829 0.747 0.659
Tb: 0.829 0.253 0.659
Tb: 0.500 0.261 0.000
Tb: 0.500 0.739 0.000
Tb: 0.171 0.747 0.341
Tb: 0.171 0.253 0.341
Ga: 0.000 0.000 0.000

Summary:
Its formation energy is -371 meV/atom. As for the space group: No. 10. For the size of the total moment, the calculation gives 0.000 μB/cell.

=====

This record from Alexandria via LeMat-Bulk describes an optimized crystal structure of TbGaRu2. The functional is PBE.

Cell: 3.268 3.268 6.362 Å, 90.00 90.00 90.00°
Element x y z (fractional)
Ru: 0.000 0.000 0.787
Ru: 0.000 0.000 0.213
Tb: 0.500 0.500 0.500
Ga: 0.500 0.500 0.000

Summary:
Its formation energy is -251 meV/atom. As for the space group: No. 123. For the size of the total moment, the calculation gives 0.000 μB/cell.

=====

This record from Alexandria via LeMat-Bulk describes an optimized crystal structure of TbGa3Ru. The functional is PBE.

Cell: 7.189 7.189 6.081 Å, 53.77 53.77 60.00°
Element x y z (fractional)
Tb: 0.338 0.338 0.985
Tb: 0.662 0.662 0.015
Ga: 0.136 0.487 0.575
Ga: 0.802 0.136 0.575
Ga: 0.513 0.198 0.425
Ga: 0.198 0.864 0.425
Ga: 0.864 0.513 0.425
Ga: 0.487 0.802 0.575
Ru: 0.088 0.088 0.735
Ru: 0.912 0.912 0.265

Summary:
Its formation energy is -245 meV/atom. The energy above the lowest structure with this stoichiometry is 343.0 meV/atom. As for the space group: No. 148. For the size of the total moment, the calculation gives 0.000 μB/cell.

=====

This record from Alexandria via LeMat-Bulk describes an optimized crystal structure of TbGa4Ru4. The functional is PBE.

Cell: 4.585 8.270 8.270 Å, 90.00 90.00 90.00°
Element x y z (fractional)
Tb: 0.000 0.000 0.000
Tb: 0.500 0.500 0.500
Ga: 0.548 0.859 0.260
Ga: 0.548 0.141 0.740
Ga: 0.048 0.760 0.641
Ga: 0.952 0.359 0.760
Ga: 0.952 0.641 0.240
Ga: 0.452 0.260 0.141
Ga: 0.452 0.740 0.859
Ga: 0.048 0.240 0.359
Ru: 0.443 0.402 0.877
Ru: 0.943 0.623 0.902
Ru: 0.443 0.598 0.123
Ru: 0.057 0.098 0.623
Ru: 0.557 0.877 0.598
Ru: 0.057 0.902 0.377
Ru: 0.943 0.377 0.098
Ru: 0.557 0.123 0.402

Summary:
Its formation energy is -216 meV/atom. As for the space group: No. 86. For the size of the total moment, the calculation gives 0.000 μB/cell.

=====

This record from Alexandria via LeMat-Bulk describes an optimized crystal structure of Tb6GaRu2. The functional is PBE.

Cell: 8.429 8.429 8.429 Å, 104.14 111.70 112.71°
Element x y z (fractional)
Tb: 0.540 0.719 0.820
Tb: 0.460 0.281 0.180
Tb: 0.101 0.281 0.820
Tb: 0.899 0.719 0.180
Tb: 0.803 0.758 0.561
Tb: 0.197 0.242 0.439
Tb: 0.197 0.758 0.954
Tb: 0.803 0.242 0.046
Tb: 0.688 0.358 0.669
Tb: 0.312 0.642 0.331
Tb: 0.312 0.981 0.669
Tb: 0.688 0.019 0.331
Ga: 0.000 0.500 0.500
Ga: 0.000 0.000 0.000
Ru: 0.500 0.372 0.872
Ru: 0.500 0.628 0.128
Ru: 0.678 0.000 0.678
Ru: 0.322 0.000 0.322

Summary:
Its formation energy is -375 meV/atom. The energy above the lowest structure with this stoichiometry is 0.0 meV/atom. As for the space group: No. 71. For the size of the total moment, the calculation gives 0.000 μB/cell.

=====

This record from Alexandria via LeMat-Bulk describes an optimized crystal structure of Tb2Ga4Ru3. The functional is PBE.

Cell: 5.468 5.468 6.968 Å, 100.92 100.92 121.14°
Element x y z (fractional)
Tb: 0.627 0.627 0.253
Tb: 0.373 0.373 0.747
Ga: 0.006 0.668 0.674
Ga: 0.668 0.006 0.674
Ga: 0.994 0.332 0.326
Ga: 0.332 0.994 0.326
Ru: 0.500 0.000 0.000
Ru: 0.000 0.000 0.000
Ru: 0.000 0.500 0.000

Summary:
Its formation energy is -437 meV/atom. As for the space group: No. 69. For the size of the total moment, the calculation gives 0.985 μB/cell.

=====

This record from Alexandria via LeMat-Bulk describes an optimized crystal structure of TbGaRu. The functional is PBE.

Cell: 3.645 4.354 4.354 Å, 120.00 90.00 90.00°
Element x y z (fractional)
Ru: 0.167 0.333 0.667
Tb: 0.667 0.667 0.333
Ga: 0.167 0.000 0.000

Summary:
Its formation energy is -466 meV/atom. As for the space group: No. 187. For the size of the total moment, the calculation gives 0.000 μB/cell.

=====

This record from Alexandria via LeMat-Bulk describes an optimized crystal structure of TbGa6Ru5. The functional is PBE.

Cell: 7.594 4.395 7.030 Å, 72.06 79.77 54.65°
Element x y z (fractional)
Tb: 0.000 0.000 0.000
Ga: 0.736 0.082 0.360
Ga: 0.264 0.554 0.361
Ga: 0.283 0.217 0.000
Ga: 0.717 0.783 0.000
Ga: 0.736 0.446 0.639
Ga: 0.264 0.918 0.640
Ru: 0.500 0.155 0.674
Ru: 0.000 0.310 0.312
Ru: 0.500 0.500 0.000
Ru: 0.000 0.690 0.688
Ru: 0.500 0.845 0.326

Summary:
Its formation energy is -322 meV/atom. As for the space group: No. 2. For the size of the total moment, the calculation gives 0.000 μB/cell.